A geometry-optimized KBeAs2 structure. Source: Alexandria via LeMat-Bulk, functional PBE.

Values from the calculation:
raw total energy = -12.05 eV per formula unit
energy relative to the elements = 518.9 meV per atom
density of states at the Fermi level = 3.09 states/eV/cell

Cell lengths 6.2318, 9.5539, 2.7436 Å; angles 90.00, 90.36, 90.00 degrees
Space group C2/m (No. 12)
One atom of each set of equivalent atoms:
1 K 0.0000 0.0000 0.0000
2 Be 0.0000 0.5000 0.0000
3 As 0.2500 0.2500 0.5000